[1]
This record from Alexandria via LeMat-Bulk describes crystalline K2RbI3 at its relaxed geometry. The functional is PBE.

Calculated values
E_form (uncorrected)	-8.9	eV per formula unit

abc: 8.9055 8.9055 8.9055
angles: 146.54 131.76 59.98
Atoms (fractional coordinates):
K  0.1657  0.1657  0.0000
K  0.8343  0.8343  0.0000
Rb  0.5000  0.5000  0.0000
I  0.0000  0.5000  0.5000
I  0.3270  0.8270  0.5000
I  0.6730  0.1730  0.5000

[2]
This record from Alexandria via LeMat-Bulk describes crystalline Zn4GaRh2 at its relaxed geometry. The functional is PBE.

Calculated values
energy relative to the elements	-0.253	eV/atom

abc: 5.2645 5.2645 5.2645
angles: 116.95 116.95 95.38
Atoms (fractional coordinates):
Zn  0.0000  0.0000  0.5000
Zn  0.0000  0.5000  0.0000
Zn  0.5000  0.0000  0.0000
Zn  0.5000  0.5000  0.5000
Ga  0.0000  0.0000  0.0000
Rh  0.0000  0.5000  0.5000
Rh  0.5000  0.0000  0.5000

[3]
This record from Alexandria via LeMat-Bulk describes crystalline KBeAg3 at its relaxed geometry. The functional is PBE.

Calculated values
energy relative to the elements	1.629	eV/atom
polymorph energy (0 for the lowest one)	678.4	kJ/mol of formula units

abc: 5.6350 5.6350 5.6350
angles: 90.00 90.00 90.00
Atoms (fractional coordinates):
K  0.0000  0.0000  0.0000
Be  0.5000  0.5000  0.5000
Ag  0.0000  0.0000  0.5000
Ag  0.0000  0.5000  0.0000
Ag  0.5000  0.0000  0.0000

[4]
This record from Alexandria via LeMat-Bulk describes crystalline HgSb3Ir at its relaxed geometry. The functional is PBE.

Calculated values
E_form (uncorrected)	2.3	eV per formula unit
polymorph energy (0 for the lowest one)	0.0	kJ/mol of formula units

abc: 5.2557 5.2557 5.2557
angles: 90.00 90.00 90.00
Atoms (fractional coordinates):
Hg  0.0000  0.0000  0.0000
Sb  0.0000  0.5000  0.5000
Sb  0.5000  0.0000  0.5000
Sb  0.5000  0.5000  0.0000
Ir  0.5000  0.5000  0.5000

[5]
This record from Alexandria via LeMat-Bulk describes crystalline Rb4Tm3PuTe8 at its relaxed geometry. The functional is PBE.

Calculated values
E_form (uncorrected)	-20.6	eV per formula unit

abc: 10.0025 10.0025 10.0025
angles: 53.73 53.73 53.73
Atoms (fractional coordinates):
Rb  0.0000  0.0000  0.0000
Rb  0.0000  0.5000  0.5000
Rb  0.5000  0.0000  0.5000
Rb  0.5000  0.5000  0.0000
Tm  0.0000  0.0000  0.5000
Tm  0.0000  0.5000  0.0000
Tm  0.5000  0.0000  0.0000
Pu  0.5000  0.5000  0.5000
Te  0.2257  0.7360  0.7360
Te  0.2322  0.2322  0.2322
Te  0.2640  0.2640  0.7743
Te  0.2640  0.7743  0.2640
Te  0.7360  0.2257  0.7360
Te  0.7360  0.7360  0.2257
Te  0.7678  0.7678  0.7678
Te  0.7743  0.2640  0.2640

[6]
This record from Alexandria via LeMat-Bulk describes crystalline LiMnSe2Br at its relaxed geometry. The functional is PBE.

Calculated values
E_form (uncorrected)	-0.9	eV per formula unit
polymorph energy (0 for the lowest one)	0.0	kJ/mol of formula units

abc: 4.5669 4.5669 5.6502
angles: 90.00 90.00 90.00
Atoms (fractional coordinates):
Li  0.0000  0.0000  0.0000
Mn  0.5000  0.5000  0.5000
Se  0.0000  0.5000  0.5000
Se  0.5000  0.0000  0.5000
Br  0.5000  0.5000  0.0000

[7]
This record from Alexandria via LeMat-Bulk describes crystalline LuThPtAu at its relaxed geometry. The functional is PBE.

Calculated values
energy relative to the elements	-0.915	eV/atom

abc: 5.0810 5.0810 5.0810
angles: 60.00 60.00 60.00
Atoms (fractional coordinates):
Lu  0.0000  0.0000  0.0000
Th  0.5000  0.5000  0.5000
Pt  0.2500  0.2500  0.2500
Au  0.7500  0.7500  0.7500

[8]
This record from Alexandria via LeMat-Bulk describes crystalline Er2In2Pd3 at its relaxed geometry. The functional is PBE.

Calculated values
energy relative to the elements	-0.746	eV/atom

abc: 4.8809 4.8824 7.7660
angles: 90.42 107.97 119.83
Atoms (fractional coordinates):
Er  0.2310  0.1138  0.3441
Er  0.7690  0.8862  0.6559
In  0.2552  0.6300  0.8861
In  0.7448  0.3700  0.1139
Pd  0.0000  0.5000  0.5000
Pd  0.4897  0.2484  0.7400
Pd  0.5103  0.7516  0.2600

[9]
This record from Alexandria via LeMat-Bulk describes crystalline PrNd2Ho8 at its relaxed geometry. The functional is PBE.

Calculated values
energy relative to the elements	0.154	eV/atom
polymorph energy (0 for the lowest one)	0.0	kJ/mol of formula units

abc: 10.1465 10.1465 5.5556
angles: 92.64 92.64 40.47
Atoms (fractional coordinates):
Pr  0.0000  0.0000  0.0000
Nd  0.2847  0.2847  0.7490
Nd  0.7153  0.7153  0.2510
Ho  0.1357  0.6022  0.2676
Ho  0.1864  0.1864  0.2335
Ho  0.3978  0.8643  0.7324
Ho  0.4541  0.4541  0.7615
Ho  0.5459  0.5459  0.2385
Ho  0.6022  0.1357  0.2676
Ho  0.8136  0.8136  0.7665
Ho  0.8643  0.3978  0.7324

[10]
This record from Alexandria via LeMat-Bulk describes crystalline Li2MgPdO4 at its relaxed geometry. The functional is PBE.

Calculated values
E_form (uncorrected)	-12.8	eV per formula unit

abc: 5.1637 3.0320 5.1667
angles: 90.00 108.66 90.00
Atoms (fractional coordinates):
Li  0.0000  0.0000  0.0000
Li  0.0000  0.5000  0.5000
Mg  0.5000  0.0000  0.5000
Pd  0.5000  0.5000  0.0000
O  0.2654  0.5000  0.2569
O  0.2715  0.0000  0.7701
O  0.7285  0.0000  0.2299
O  0.7346  0.5000  0.7431

[11]
This record from Alexandria via LeMat-Bulk describes crystalline Nd2Sb4Ir3Rh at its relaxed geometry. The functional is PBE.

Calculated values
E_form (uncorrected)	-6.5	eV per formula unit

abc: 4.5548 4.5548 10.5549
angles: 90.00 90.00 90.00
Atoms (fractional coordinates):
Nd  0.0000  0.5000  0.2442
Nd  0.5000  0.0000  0.7558
Sb  0.0000  0.0000  0.5000
Sb  0.0000  0.5000  0.8685
Sb  0.5000  0.0000  0.1315
Sb  0.5000  0.5000  0.5000
Ir  0.0000  0.0000  0.0000
Ir  0.0000  0.5000  0.6241
Ir  0.5000  0.0000  0.3759
Rh  0.5000  0.5000  0.0000

[12]
This record from Alexandria via LeMat-Bulk describes crystalline Ac8Ru3N at its relaxed geometry. The functional is PBE.

Calculated values
E_form (uncorrected)	-3.7	eV per formula unit

abc: 8.3837 8.3837 8.3717
angles: 119.58 119.58 60.40
Atoms (fractional coordinates):
Ac  0.2323  0.2323  0.2423
Ac  0.2327  0.7565  0.7668
Ac  0.2435  0.7673  0.2332
Ac  0.2533  0.2533  0.7474
Ac  0.7467  0.7467  0.2526
Ac  0.7565  0.2327  0.7668
Ac  0.7673  0.2435  0.2332
Ac  0.7677  0.7677  0.7577
Ru  0.0000  0.5000  0.5000
Ru  0.5000  0.0000  0.5000
Ru  0.5000  0.5000  0.0000
N  0.0000  0.0000  0.0000